Record 1
Material: SrAgPt
Method: DFT, PBE
State: optimized geometry

Computed properties:
Excess energy over the best structure of this formula in the dataset in meV/atom: 241
E_tot in eV/cell: -11.5
Calculated volume in A^3/atom: 23.548

Unit cell a=5.713 b=5.714 c=3.734 alpha=70.92 beta=70.93 gamma=38.15
Fractional positions:
Ag1 0.969 0.969 0.031
Sr1 0.673 0.673 0.327
Pt1 0.359 0.359 0.641



Record 2
Material: Sr2Ag2Pt
Method: DFT, PBE
State: optimized geometry

Computed properties:
Excess energy over the best structure of this formula in the dataset in meV/atom: 261
E_tot in eV/cell: -16.2
Calculated volume in A^3/atom: 28.997

Unit cell a=6.025 b=6.025 c=5.840 alpha=58.95 beta=58.95 gamma=90.00
Fractional positions:
Sr1 0.250 0.750 0.500
Sr2 0.750 0.250 0.500
Ag1 0.336 0.336 0.327
Ag2 0.664 0.664 0.673
Pt1 0.000 0.000 0.000



Record 3
Material: SrAg3Pt
Method: DFT, PBE
State: optimized geometry

Computed properties:
Excess energy over the best structure of this formula in the dataset in meV/atom: 1428
E_tot in eV/cell: -8.9
Calculated volume in A^3/atom: 31.494

Unit cell a=5.400 b=5.400 c=5.400 alpha=90.00 beta=90.00 gamma=90.00
Fractional positions:
Ag1 0.000 0.500 0.000
Ag2 0.500 0.000 0.000
Ag3 0.000 0.000 0.500
Sr1 0.000 0.000 0.000
Pt1 0.500 0.500 0.500



Record 4
Material: Sr5Ag2Pt
Method: DFT, PBE
State: optimized geometry

Computed properties:
E_tot in eV/cell: -46.7
Calculated volume in A^3/atom: 36.694

Unit cell a=7.570 b=8.499 c=9.952 alpha=96.92 beta=112.35 gamma=90.00
Fractional positions:
Sr1 0.482 0.424 0.190
Sr2 0.518 0.576 0.810
Sr3 0.138 0.307 0.435
Sr4 0.923 0.250 0.000
Sr5 0.708 0.924 0.190
Sr6 0.292 0.076 0.810
Sr7 0.077 0.750 0.000
Sr8 0.297 0.807 0.435
Sr9 0.862 0.693 0.565
Sr10 0.703 0.193 0.565
Ag1 0.308 0.072 0.201
Ag2 0.892 0.572 0.201
Ag3 0.692 0.928 0.799
Ag4 0.108 0.428 0.799
Pt1 0.000 0.000 0.500
Pt2 0.500 0.500 0.500



Record 5
Material: Sr4AgPt
Method: DFT, PBE
State: optimized geometry

Computed properties:
Excess energy over the best structure of this formula in the dataset in meV/atom: 16
E_tot in eV/cell: -36.1
Calculated volume in A^3/atom: 36.937

Unit cell a=7.598 b=7.598 c=9.373 alpha=66.14 beta=65.97 gamma=89.93
Fractional positions:
Ag1 0.250 0.750 0.000
Ag2 0.750 0.250 0.000
Sr1 0.368 0.870 0.263
Sr2 0.631 0.630 0.738
Sr3 0.868 0.369 0.263
Sr4 0.868 0.869 0.262
Sr5 0.132 0.131 0.738
Sr6 0.369 0.370 0.262
Sr7 0.132 0.631 0.737
Sr8 0.632 0.130 0.737
Pt1 0.000 0.000 0.500
Pt2 0.500 0.500 0.500



Record 6
Material: Sr3Ag2Pt7
Method: DFT, PBE
State: optimized geometry

Computed properties:
E_tot in eV/cell: -60.9
Calculated volume in A^3/atom: 20.228

Unit cell a=5.563 b=5.563 c=9.610 alpha=73.18 beta=73.18 gamma=60.00
Fractional positions:
Pt1 0.918 0.414 0.255
Pt2 0.082 0.586 0.745
Pt3 0.586 0.082 0.745
Pt4 0.500 0.500 0.500
Pt5 0.414 0.414 0.255
Pt6 0.586 0.586 0.745
Pt7 0.414 0.918 0.255
Sr1 0.141 0.141 0.578
Sr2 0.000 0.000 0.000
Sr3 0.859 0.859 0.422
Ag1 0.667 0.667 0.000
Ag2 0.333 0.333 0.000



Record 7
Material: Sr3Ag2Pt
Method: DFT, PBE
State: optimized geometry

Computed properties:
E_tot in eV/cell: -39.0
Calculated volume in A^3/atom: 28.339

Unit cell a=5.407 b=8.524 c=7.780 alpha=90.00 beta=90.00 gamma=71.51
Fractional positions:
Pt1 0.660 0.680 0.000
Pt2 0.340 0.320 0.000
Sr1 0.500 0.000 0.760
Sr2 0.172 0.656 0.768
Sr3 0.828 0.344 0.768
Sr4 0.500 0.000 0.240
Sr5 0.172 0.656 0.232
Sr6 0.828 0.344 0.232
Ag1 0.000 0.000 0.500
Ag2 0.334 0.331 0.500
Ag3 0.666 0.669 0.500
Ag4 0.000 0.000 0.000



Record 8
Material: SrAg2Pt
Method: DFT, PBE
State: optimized geometry

Computed properties:
Excess energy over the best structure of this formula in the dataset in meV/atom: 59
E_tot in eV/cell: -14.5
Calculated volume in A^3/atom: 21.304

Unit cell a=5.646 b=5.646 c=4.537 alpha=65.78 beta=65.78 gamma=40.94
Fractional positions:
Pt1 0.250 0.250 0.250
Ag1 0.517 0.517 0.485
Ag2 0.983 0.983 0.015
Sr1 0.750 0.750 0.750



Sequential formation enthalpy at 0 K output: -294, -216, 1479, -402, -402, -658, -449, -266 meV/atom